Entry a
DFT (PBE) results for a relaxed structure of Si2C.

Cell: 4.929 4.334 6.376 Å, 90.00 90.00 90.00°
Fractional coordinates of all 12 atoms:
1 Si 0.050 0.250 0.156
2 Si 0.066 0.250 0.582
3 Si 0.434 0.750 0.082
4 Si 0.450 0.750 0.656
5 Si 0.550 0.250 0.344
6 Si 0.566 0.250 0.918
7 Si 0.934 0.750 0.418
8 Si 0.950 0.750 0.844
9 C 0.058 0.750 0.135
10 C 0.442 0.250 0.635
11 C 0.558 0.750 0.365
12 C 0.942 0.250 0.865

Properties
Magnetic moment   0.000 μB/atom
Space-group type   Pnma


Entry b
DFT (PBE) results for a relaxed structure of Si2C.

Cell: 4.736 4.736 4.736 Å, 145.70 140.79 53.06°
Fractional coordinates of all 3 atoms:
1 Si 0.151 0.151 0.000
2 Si 0.849 0.849 0.000
3 C 0.000 0.500 0.500

Properties
Magnetic moment   0.000 μB/atom
Space-group type   Immm


Entry c
DFT (PBE) results for a relaxed structure of Si2C.

Cell: 4.157 4.157 4.520 Å, 90.00 90.00 120.00°
Fractional coordinates of all 6 atoms:
1 Si 0.000 0.000 0.000
2 Si 0.000 0.000 0.500
3 Si 0.333 0.667 0.250
4 Si 0.667 0.333 0.750
5 C 0.333 0.667 0.750
6 C 0.667 0.333 0.250

Properties
Magnetic moment   0.000 μB/atom
Space-group type   P6_3/mmc


Entry d
DFT (PBE) results for a relaxed structure of Si2C.

Cell: 5.640 5.640 6.706 Å, 90.00 90.00 120.00°
Fractional coordinates of all 12 atoms:
1 Si 0.000 0.000 0.000
2 Si 0.000 0.000 0.500
3 Si 0.186 0.372 0.250
4 Si 0.186 0.814 0.250
5 Si 0.372 0.186 0.750
6 Si 0.628 0.814 0.250
7 Si 0.814 0.186 0.750
8 Si 0.814 0.628 0.750
9 C 0.333 0.667 0.058
10 C 0.333 0.667 0.442
11 C 0.667 0.333 0.558
12 C 0.667 0.333 0.942

Properties
Magnetic moment   0.000 μB/atom
Space-group type   P6_3/mmc


Which one is most stable, and which one is least stable? entry a is the most stable of them, while entry c is the least stable.


Entry a
DFT (PBE) results for a relaxed structure of SiC.

Cell: 3.092 3.092 5.074 Å, 90.00 90.00 120.00°
Fractional coordinates of all 4 atoms:
1 Si 0.333 0.667 0.000
2 Si 0.667 0.333 0.500
3 C 0.333 0.667 0.624
4 C 0.667 0.333 0.124

Properties
Magnetic moment   0.000 μB/atom
Space-group type   P6_3mc


Entry b
DFT (PBE) results for a relaxed structure of SiC.

Cell: 5.357 5.357 5.357 Å, 90.00 90.00 90.00°
Fractional coordinates of all 12 atoms:
1 Si 0.000 0.250 0.500
2 Si 0.000 0.750 0.500
3 Si 0.250 0.500 0.000
4 Si 0.500 0.000 0.250
5 Si 0.500 0.000 0.750
6 Si 0.750 0.500 0.000
7 C 0.000 0.500 0.250
8 C 0.000 0.500 0.750
9 C 0.250 0.000 0.500
10 C 0.500 0.250 0.000
11 C 0.500 0.750 0.000
12 C 0.750 0.000 0.500

Properties
Magnetic moment   0.000 μB/atom
Space-group type   Pm-3n


Entry c
DFT (PBE) results for a relaxed structure of SiC.

Cell: 4.482 4.482 6.514 Å, 123.43 123.43 40.82°
Fractional coordinates of all 6 atoms:
1 Si 0.000 0.000 0.000
2 Si 0.118 0.118 0.616
3 Si 0.777 0.777 0.354
4 C 0.159 0.159 0.365
5 C 0.628 0.628 0.984
6 C 0.715 0.715 0.824

Properties
Magnetic moment   0.000 μB/atom
Space-group type   Cm


Entry d
DFT (PBE) results for a relaxed structure of SiC.

Cell: 2.734 2.734 4.222 Å, 90.00 90.00 90.00°
Fractional coordinates of all 2 atoms:
1 Si 0.000 0.000 0.000
2 C 0.500 0.500 0.000

Properties
Magnetic moment   0.000 μB/atom
Space-group type   P4/mmm


Which one is most stable, and which one is least stable? entry a is the most stable of them, while entry d is the least stable.


Entry a
DFT (PBE) results for a relaxed structure of SiC.

Cell: 2.485 2.485 3.873 Å, 90.00 90.00 120.00°
Fractional coordinates of all 2 atoms:
1 Si 0.000 0.000 0.000
2 C 0.000 0.000 0.500

Properties
Magnetic moment   0.000 μB/atom
Space-group type   P6/mmm


Entry b
DFT (PBE) results for a relaxed structure of SiC.

Cell: 3.094 3.094 10.130 Å, 90.00 90.00 120.00°
Fractional coordinates of all 8 atoms:
1 Si 0.000 0.000 0.000
2 Si 0.000 0.000 0.500
3 Si 0.333 0.667 0.250
4 Si 0.667 0.333 0.750
5 C 0.000 0.000 0.313
6 C 0.000 0.000 0.813
7 C 0.333 0.667 0.062
8 C 0.667 0.333 0.562

Properties
Magnetic moment   0.000 μB/atom
Space-group type   P6_3mc


Which one is most stable, and which one is least stable? entry b is the most stable of them, while entry a is the least stable.


Entry a
DFT (PBE) results for a relaxed structure of SiC.

Cell: 3.892 3.892 3.892 Å, 90.00 90.00 90.00°
Fractional coordinates of all 6 atoms:
1 Si 0.000 0.000 0.500
2 Si 0.000 0.500 0.000
3 Si 0.500 0.000 0.000
4 C 0.000 0.500 0.500
5 C 0.500 0.000 0.500
6 C 0.500 0.500 0.000

Properties
Magnetic moment   0.039 μB/atom
Space-group type   Pm-3m


Entry b
DFT (PBE) results for a relaxed structure of SiC.

Cell: 5.846 5.846 2.501 Å, 99.30 99.30 129.60°
Fractional coordinates of all 4 atoms:
1 Si 0.212 0.788 0.750
2 Si 0.788 0.212 0.250
3 C 0.032 0.968 0.750
4 C 0.968 0.032 0.250

Properties
Magnetic moment   0.000 μB/atom
Space-group type   C2/c


Entry c
DFT (PBE) results for a relaxed structure of SiC.

Cell: 3.095 3.095 20.243 Å, 90.00 90.00 120.00°
Fractional coordinates of all 16 atoms:
1 Si 0.000 0.000 0.000
2 Si 0.000 0.000 0.500
3 Si 0.333 0.667 0.125
4 Si 0.333 0.667 0.375
5 Si 0.333 0.667 0.750
6 Si 0.667 0.333 0.250
7 Si 0.667 0.333 0.625
8 Si 0.667 0.333 0.875
9 C 0.000 0.000 0.094
10 C 0.000 0.000 0.594
11 C 0.333 0.667 0.219
12 C 0.333 0.667 0.469
13 C 0.333 0.667 0.844
14 C 0.667 0.333 0.344
15 C 0.667 0.333 0.719
16 C 0.667 0.333 0.969

Properties
Magnetic moment   0.000 μB/atom
Space-group type   P6_3mc


Entry d
DFT (PBE) results for a relaxed structure of SiC.

Cell: 5.630 5.630 5.630 Å, 31.94 31.94 31.94°
Fractional coordinates of all 4 atoms:
1 Si 0.074 0.074 0.074
2 Si 0.926 0.926 0.926
3 C 0.450 0.450 0.450
4 C 0.550 0.550 0.550

Properties
Magnetic moment   0.000 μB/atom
Space-group type   R-3m


Which one is most stable, and which one is least stable? entry c is the most stable of them, while entry a is the least stable.


Entry a
DFT (PBE) results for a relaxed structure of SiC.

Cell: 2.870 2.870 2.870 Å, 60.00 60.00 60.00°
Fractional coordinates of all 2 atoms:
1 Si 0.000 0.000 0.000
2 C 0.500 0.500 0.500

Properties
Magnetic moment   0.000 μB/atom
Space-group type   Fm-3m


Entry b
DFT (PBE) results for a relaxed structure of SiC.

Cell: 4.638 4.638 5.623 Å, 114.48 114.48 36.15°
Fractional coordinates of all 6 atoms:
1 Si 0.000 0.000 0.000
2 Si 0.124 0.124 0.596
3 Si 0.293 0.293 0.067
4 C 0.674 0.674 0.166
5 C 0.733 0.733 0.469
6 C 0.914 0.914 0.631

Properties
Magnetic moment   0.000 μB/atom
Space-group type   Cm


Which one is most stable, and which one is least stable? entry a is the most stable of them, while entry b is the least stable.


Entry a
DFT (PBE) results for a relaxed structure of SiC.

Cell: 3.158 3.159 6.950 Å, 79.72 77.64 60.01°
Fractional coordinates of all 4 atoms:
1 Si 0.112 0.135 0.149
2 Si 0.888 0.865 0.851
3 C 0.230 0.203 0.828
4 C 0.770 0.797 0.172

Properties
Magnetic moment   0.000 μB/atom
Space-group type   P-1


Entry b
DFT (PBE) results for a relaxed structure of SiC.

Cell: 5.075 5.075 2.668 Å, 90.00 90.00 120.00°
Fractional coordinates of all 6 atoms:
1 Si 0.000 0.000 0.000
2 Si 0.333 0.667 0.500
3 Si 0.667 0.333 0.500
4 C 0.000 0.366 0.000
5 C 0.366 0.000 0.000
6 C 0.634 0.634 0.000

Properties
Magnetic moment   0.000 μB/atom
Space-group type   P-62m


Entry c
DFT (PBE) results for a relaxed structure of SiC.

Cell: 3.936 3.936 3.936 Å, 60.00 60.00 60.00°
Fractional coordinates of all 4 atoms:
1 Si 0.125 0.125 0.125
2 Si 0.875 0.875 0.875
3 C 0.375 0.375 0.375
4 C 0.625 0.625 0.625

Properties
Magnetic moment   0.000 μB/atom
Space-group type   Fd-3m


Which one is most stable, and which one is least stable? entry a is the most stable of them, while entry c is the least stable.


Entry a
DFT (PBE) results for a relaxed structure of SiC2.

Cell: 6.617 6.617 2.575 Å, 90.00 90.00 154.09°
Fractional coordinates of all 6 atoms:
1 Si 0.133 0.867 0.750
2 Si 0.867 0.133 0.250
3 C 0.253 0.747 0.250
4 C 0.468 0.532 0.750
5 C 0.532 0.468 0.250
6 C 0.747 0.253 0.750

Properties
Magnetic moment   0.000 μB/atom
Space-group type   Cmcm


Entry b
DFT (PBE) results for a relaxed structure of SiC2.

Cell: 4.005 4.005 2.853 Å, 90.00 90.00 143.86°
Fractional coordinates of all 3 atoms:
1 Si 0.000 0.000 0.000
2 C 0.201 0.799 0.500
3 C 0.799 0.201 0.500

Properties
Magnetic moment   0.000 μB/atom
Space-group type   Cmmm


Which one is most stable, and which one is least stable? entry b is the most stable of them, while entry a is the least stable.


Entry a
DFT (PBE) results for a relaxed structure of SiC2.

Cell: 15.948 15.948 15.948 Å, 170.91 170.91 12.87°
Fractional coordinates of all 12 atoms:
1 Si 0.311 0.561 0.750
2 Si 0.439 0.689 0.750
3 Si 0.561 0.311 0.250
4 Si 0.689 0.439 0.250
5 C 0.011 0.261 0.750
6 C 0.117 0.367 0.750
7 C 0.261 0.011 0.250
8 C 0.367 0.117 0.250
9 C 0.633 0.883 0.750
10 C 0.739 0.989 0.750
11 C 0.883 0.633 0.250
12 C 0.989 0.739 0.250

Properties
Magnetic moment   0.000 μB/atom
Space-group type   I4_1/amd


Entry b
DFT (PBE) results for a relaxed structure of SiC2.

Cell: 4.008 4.008 4.008 Å, 42.67 42.67 42.67°
Fractional coordinates of all 3 atoms:
1 Si 0.000 0.000 0.000
2 C 0.438 0.438 0.438
3 C 0.562 0.562 0.562

Properties
Magnetic moment   0.000 μB/atom
Space-group type   R-3m


Entry c
DFT (PBE) results for a relaxed structure of SiC2.

Cell: 3.556 3.556 2.480 Å, 99.67 99.67 95.31°
Fractional coordinates of all 3 atoms:
1 Si 0.000 0.000 0.000
2 C 0.427 0.427 0.214
3 C 0.573 0.573 0.786

Properties
Magnetic moment   0.000 μB/atom
Space-group type   C2/m


Entry d
DFT (PBE) results for a relaxed structure of SiC2.

Cell: 4.794 4.794 4.794 Å, 90.00 90.00 90.00°
Fractional coordinates of all 12 atoms:
1 Si 0.000 0.000 0.000
2 Si 0.000 0.500 0.500
3 Si 0.500 0.000 0.500
4 Si 0.500 0.500 0.000
5 C 0.082 0.582 0.918
6 C 0.082 0.918 0.418
7 C 0.418 0.082 0.918
8 C 0.418 0.418 0.418
9 C 0.582 0.582 0.582
10 C 0.582 0.918 0.082
11 C 0.918 0.082 0.582
12 C 0.918 0.418 0.082

Properties
Magnetic moment   0.000 μB/atom
Space-group type   Pa-3


Which one is most stable, and which one is least stable? entry b is the most stable of them, while entry a is the least stable.